No. 1
La2TaReRu SCAN single point on PBEsol structure; symmetry = No. 123; total magnetization = 0.00 μB/f.u.; VASP energy = -50.6779 eV per atom; DFT formation energy = 1.0655 eV/atom; mass density = 9.18 g/cm³; crystal system = tetragonal
1.0
5.285 0.000 0.000
0.000 5.285 0.000
0.000 0.000 4.829
La Ta Re Ru
2 1 1 1
Direct
0.000 0.500 0.000 La
0.500 0.000 0.000 La
0.000 0.000 0.500 Ta
0.000 0.000 0.000 Re
0.500 0.500 0.500 Ru

=====

No. 2
SbAsP2Rh SCAN single point on PBEsol structure; symmetry = No. 123; total magnetization = 0.00 μB/f.u.; VASP energy = -20.9751 eV per atom; formation energy from raw total energies = 1429 meV per atom; mass density = 5.14 g/cm³; crystal system = tetragonal
1.0
4.933 0.000 0.000
0.000 4.933 0.000
0.000 0.000 4.803
Sb As P Rh
1 1 2 1
Direct
0.000 0.000 0.000 Sb
0.500 0.500 0.500 As
0.000 0.500 0.000 P
0.500 0.000 0.000 P
0.000 0.000 0.500 Rh

=====

No. 3
MgMnCo SCAN single point on PBEsol structure; symmetry = No. 156; total magnetization = 4.89 μB/f.u.; VASP energy = -13.2229 eV per atom; energy above the most stable polymorph in this dataset = 0.000 eV per atom; DFT formation energy = 0.2882 eV/atom; mass density = 6.07 g/cm³; crystal system = trigonal
1.0
2.634 0.000 0.000
-1.317 2.281 0.000
0.000 0.000 6.294
Mg Mn Co
1 1 1
Direct
0.000 0.000 0.000 Mg
0.333 0.667 0.634 Mn
0.667 0.333 0.351 Co

=====

No. 4
CrGeO2 SCAN single point on PBEsol structure; symmetry = No. 166; total magnetization = 3.54 μB/f.u.; VASP energy = -13.3913 eV per atom; formation energy from raw total energies = -908 meV per atom; mass density = 5.16 g/cm³; crystal system = trigonal
1.0
1.556 0.899 6.012
-1.556 0.899 6.012
0.000 -1.797 6.012
Cr Ge O
1 1 2
Direct
0.000 0.000 0.000 Cr
0.500 0.500 0.500 Ge
0.107 0.107 0.107 O
0.893 0.893 0.893 O

=====

No. 5
CaAcGa2 SCAN single point on PBEsol structure; symmetry = No. 225; total magnetization = 0.00 μB/f.u.; VASP energy = -33.7233 eV per atom; DFT formation energy = -0.5155 eV/atom; mass density = 6.37 g/cm³; crystal system = cubic
1.0
0.000 3.756 3.756
3.756 0.000 3.756
3.756 3.756 0.000
Ca Ac Ga
1 1 2
Direct
0.000 0.000 0.000 Ca
0.500 0.500 0.500 Ac
0.250 0.250 0.250 Ga
0.750 0.750 0.750 Ga

=====

No. 6
Sb2Au SCAN single point on PBEsol structure; symmetry = No. 205; total magnetization = 0.00 μB/f.u.; VASP energy = -48.0697 eV per atom; formation energy from raw total energies = -177 meV per atom; mass density = 9.87 g/cm³; crystal system = cubic
1.0
6.668 0.000 0.000
0.000 6.668 0.000
0.000 0.000 6.668
Sb Au
8 4
Direct
0.125 0.125 0.125 Sb
0.125 0.375 0.625 Sb
0.375 0.625 0.125 Sb
0.375 0.875 0.625 Sb
0.625 0.125 0.375 Sb
0.625 0.375 0.875 Sb
0.875 0.625 0.375 Sb
0.875 0.875 0.875 Sb
0.000 0.000 0.500 Au
0.000 0.500 0.000 Au
0.500 0.000 0.000 Au
0.500 0.500 0.500 Au

=====

No. 7
CsAg2S2 SCAN single point on PBEsol structure; symmetry = No. 139; total magnetization = 0.00 μB/f.u.; VASP energy = -24.3856 eV per atom; formation energy from raw total energies = -425 meV per atom; mass density = 4.87 g/cm³; crystal system = tetragonal
1.0
-2.480 2.480 5.723
2.480 -2.480 5.723
2.480 2.480 -5.723
Cs Ag S
1 2 2
Direct
0.000 0.000 0.000 Cs
0.289 0.289 0.000 Ag
0.711 0.711 0.000 Ag
0.250 0.750 0.500 S
0.750 0.250 0.500 S

=====

No. 8
BeTc2Te SCAN single point on PBEsol structure; symmetry = No. 225; total magnetization = 0.00 μB/f.u.; VASP energy = -27.7598 eV per atom; formation energy from raw total energies = 171 meV per atom; energy above the most stable polymorph in this dataset = 0.000 eV per atom; mass density = 9.86 g/cm³; crystal system = cubic
1.0
0.000 3.037 3.037
3.037 0.000 3.037
3.037 3.037 0.000
Be Tc Te
1 2 1
Direct
0.000 0.000 0.000 Be
0.250 0.250 0.250 Tc
0.750 0.750 0.750 Tc
0.500 0.500 0.500 Te

=====

No. 9
La3ZrNi SCAN single point on PBEsol structure; symmetry = No. 221; total magnetization = 0.00 μB/f.u.; VASP energy = -34.9887 eV per atom; DFT formation energy = 0.2487 eV/atom; mass density = 6.29 g/cm³; crystal system = cubic
1.0
5.308 0.000 0.000
0.000 5.308 0.000
0.000 0.000 5.308
La Zr Ni
3 1 1
Direct
0.000 0.000 0.500 La
0.000 0.500 0.000 La
0.500 0.000 0.000 La
0.500 0.500 0.500 Zr
0.000 0.000 0.000 Ni

=====

No. 10
ScC3 SCAN single point on PBEsol structure; symmetry = No. 47; total magnetization = 0.00 μB/f.u.; VASP energy = -10.1713 eV per atom; energy above the most stable polymorph in this dataset = 0.096 eV per atom; DFT formation energy = 0.9628 eV/atom; mass density = 3.89 g/cm³; crystal system = orthorhombic
1.0
2.708 0.000 0.000
0.000 3.522 0.000
0.000 0.000 3.628
Sc C
1 3
Direct
0.000 0.000 0.000 Sc
0.000 0.500 0.500 C
0.500 0.500 0.193 C
0.500 0.500 0.807 C

=====

No. 11
BeCu2Pb SCAN single point on PBEsol structure; symmetry = No. 139; total magnetization = 0.00 μB/f.u.; VASP energy = -27.2355 eV per atom; DFT formation energy = 0.3978 eV/atom; mass density = 9.95 g/cm³; crystal system = tetragonal
1.0
-1.906 1.906 3.943
1.906 -1.906 3.943
1.906 1.906 -3.943
Be Cu Pb
1 2 1
Direct
0.000 0.000 0.000 Be
0.250 0.750 0.500 Cu
0.750 0.250 0.500 Cu
0.500 0.500 0.000 Pb

=====

No. 12
La2Ge2O7 SCAN single point on PBEsol structure; symmetry = No. 1; total magnetization = 0.00 μB/f.u.; VASP energy = -18.1011 eV per atom; formation energy from raw total energies = -2828 meV per atom; mass density = 5.74 g/cm³; crystal system = triclinic
1.0
6.891 0.000 0.000
0.157 7.045 0.000
0.292 3.059 6.372
La Ge O
4 4 14
Direct
0.000 0.000 0.000 La
0.061 0.512 0.483 La
0.301 0.986 0.490 La
0.572 0.428 0.843 La
0.108 0.475 0.970 Ge
0.464 0.867 0.037 Ge
0.570 0.425 0.349 Ge
0.803 0.995 0.502 Ge
0.019 0.611 0.111 O
0.247 0.611 0.730 O
0.252 0.248 0.099 O
0.293 0.960 0.844 O
0.330 0.797 0.275 O
0.349 0.332 0.482 O
0.558 0.608 0.079 O
0.621 0.824 0.652 O
0.652 0.047 0.978 O
0.664 0.207 0.304 O
0.712 0.495 0.502 O
0.920 0.383 0.863 O
0.965 0.885 0.376 O
0.971 0.105 0.609 O

=====

No. 13
Y2SbRu SCAN single point on PBEsol structure; symmetry = No. 38; total magnetization = 0.00 μB/f.u.; VASP energy = -32.6766 eV per atom; formation energy from raw total energies = -733 meV per atom; mass density = 7.14 g/cm³; crystal system = orthorhombic
1.0
4.050 0.000 0.000
0.000 2.100 5.477
0.000 -2.100 5.477
Y Sb Ru
2 1 1
Direct
0.000 0.000 0.000 Y
0.500 0.290 0.290 Y
0.500 0.580 0.580 Sb
0.000 0.742 0.742 Ru

=====

No. 14
K2SbAu SCAN single point on PBEsol structure; symmetry = No. 123; total magnetization = 0.00 μB/f.u.; VASP energy = -31.0381 eV per atom; formation energy from raw total energies = -269 meV per atom; mass density = 6.10 g/cm³; crystal system = tetragonal
1.0
4.554 0.000 0.000
0.000 4.554 0.000
0.000 0.000 5.206
K Sb Au
2 1 1
Direct
0.000 0.500 0.000 K
0.500 0.000 0.000 K
0.000 0.000 0.500 Sb
0.500 0.500 0.500 Au

=====

No. 15
SrHPd2 SCAN single point on PBEsol structure; symmetry = No. 227; total magnetization = 0.00 μB/f.u.; VASP energy = -23.3881 eV per atom; mass density = 7.58 g/cm³; crystal system = cubic
1.0
0.000 4.043 4.043
4.043 0.000 4.043
4.043 4.043 0.000
Sr H Pd
2 2 4
Direct
0.125 0.125 0.125 Sr
0.875 0.875 0.875 Sr
0.375 0.375 0.375 H
0.625 0.625 0.625 H
0.000 0.500 0.500 Pd
0.500 0.000 0.500 Pd
0.500 0.500 0.000 Pd
0.500 0.500 0.500 Pd

=====

No. 16
Cr2GaSb SCAN single point on PBEsol structure; symmetry = No. 225; total magnetization = 4.06 μB/f.u.; VASP energy = -22.3569 eV per atom; formation energy from raw total energies = 237 meV per atom; mass density = 8.33 g/cm³; crystal system = cubic
1.0
0.000 3.089 3.089
3.089 0.000 3.089
3.089 3.089 0.000
Cr Ga Sb
2 1 1
Direct
0.250 0.250 0.250 Cr
0.750 0.750 0.750 Cr
0.000 0.000 0.000 Ga
0.500 0.500 0.500 Sb

=====

No. 17
ScNi2Ru SCAN single point on PBEsol structure; symmetry = No. 119; total magnetization = 2.19 μB/f.u.; VASP energy = -20.5045 eV per atom; DFT formation energy = -0.1520 eV/atom; mass density = 8.30 g/cm³; crystal system = tetragonal
1.0
-1.873 1.873 3.756
1.873 -1.873 3.756
1.873 1.873 -3.756
Sc Ni Ru
1 2 1
Direct
0.000 0.000 0.000 Sc
0.500 0.500 0.000 Ni
0.750 0.250 0.500 Ni
0.250 0.750 0.500 Ru

=====

No. 18
Ag2Au SCAN single point on PBEsol structure; symmetry = No. 8; total magnetization = 0.00 μB/f.u.; VASP energy = -44.0167 eV per atom; energy above the most stable polymorph in this dataset = 0.022 eV per atom; DFT formation energy = -0.0531 eV/atom; mass density = 13.71 g/cm³; crystal system = monoclinic
1.0
5.330 -1.424 0.000
5.330 1.424 0.000
-1.868 0.000 6.586
Ag Au
4 2
Direct
0.000 0.000 0.000 Ag
0.055 0.055 0.612 Ag
0.333 0.333 0.666 Ag
0.667 0.667 0.334 Ag
0.390 0.390 0.280 Au
0.722 0.722 0.943 Au

=====

No. 19
Na2W2O7 SCAN single point on PBEsol structure; symmetry = No. 64; total magnetization = 0.00 μB/f.u.; VASP energy = -19.6935 eV per atom; formation energy from raw total energies = -2291 meV per atom; energy above the most stable polymorph in this dataset = 0.000 eV per atom; mass density = 5.48 g/cm³; crystal system = orthorhombic
1.0
3.622 -5.948 0.000
3.622 5.948 0.000
0.000 0.000 14.790
Na W O
8 8 28
Direct
0.169 0.831 0.845 Na
0.249 0.249 0.000 Na
0.251 0.251 0.500 Na
0.331 0.669 0.345 Na
0.669 0.331 0.655 Na
0.749 0.749 0.500 Na
0.751 0.751 0.000 Na
0.831 0.169 0.155 Na
0.161 0.339 0.750 W
0.247 0.753 0.086 W
0.253 0.747 0.586 W
0.339 0.161 0.250 W
0.661 0.839 0.750 W
0.747 0.253 0.414 W
0.753 0.247 0.914 W
0.839 0.661 0.250 W
0.031 0.562 0.157 O
0.062 0.531 0.657 O
0.122 0.878 0.530 O
0.125 0.875 0.282 O
0.140 0.860 0.003 O
0.197 0.205 0.161 O
0.205 0.197 0.839 O
0.295 0.303 0.339 O
0.303 0.295 0.661 O
0.360 0.640 0.503 O
0.375 0.625 0.782 O
0.378 0.622 0.030 O
0.438 0.969 0.157 O
0.469 0.938 0.657 O
0.531 0.062 0.343 O
0.562 0.031 0.843 O
0.622 0.378 0.970 O
0.625 0.375 0.218 O
0.640 0.360 0.497 O
0.697 0.705 0.339 O
0.705 0.697 0.661 O
0.795 0.803 0.161 O
0.803 0.795 0.839 O
0.860 0.140 0.997 O
0.875 0.125 0.718 O
0.878 0.122 0.470 O
0.938 0.469 0.343 O
0.969 0.438 0.843 O

=====

No. 20
AlGaF2 SCAN single point on PBEsol structure; symmetry = No. 166; total magnetization = 0.00 μB/f.u.; VASP energy = -9.3006 eV per atom; formation energy from raw total energies = -1506 meV per atom; mass density = 3.23 g/cm³; crystal system = trigonal
1.0
1.573 0.908 8.083
-1.573 0.908 8.083
0.000 -1.817 8.083
Al Ga F
1 1 2
Direct
0.000 0.000 0.000 Al
0.500 0.500 0.500 Ga
0.371 0.371 0.371 F
0.629 0.629 0.629 F

=====

No. 21
LiLa2I SCAN single point on PBEsol structure; symmetry = No. 122; total magnetization = 0.00 μB/f.u.; VASP energy = -31.5516 eV per atom; formation energy from raw total energies = -216 meV per atom; mass density = 5.54 g/cm³; crystal system = tetragonal
1.0
-4.362 4.362 3.246
4.362 -4.362 3.246
4.362 4.362 -3.246
Li La I
2 4 2
Direct
0.000 0.000 0.000 Li
0.750 0.250 0.500 Li
0.137 0.625 0.012 La
0.375 0.387 0.512 La
0.613 0.125 0.988 La
0.875 0.863 0.488 La
0.250 0.750 0.500 I
0.500 0.500 0.000 I

=====

No. 22
CsPrS2 SCAN single point on PBEsol structure; symmetry = No. 194; total magnetization = 0.00 μB/f.u.; VASP energy = -27.1904 eV per atom; formation energy from raw total energies = -2092 meV per atom; mass density = 4.60 g/cm³; crystal system = hexagonal
1.0
4.211 0.000 0.000
-2.105 3.647 0.000
0.000 0.000 15.906
Cs Pr S
2 2 4
Direct
0.333 0.667 0.250 Cs
0.667 0.333 0.750 Cs
0.000 0.000 0.000 Pr
0.000 0.000 0.500 Pr
0.333 0.667 0.595 S
0.333 0.667 0.905 S
0.667 0.333 0.095 S
0.667 0.333 0.405 S

=====

No. 23
Sr2CaFe SCAN single point on PBEsol structure; symmetry = No. 216; total magnetization = 3.18 μB/f.u.; VASP energy = -17.5568 eV per atom; energy above the most stable polymorph in this dataset = 0.134 eV per atom; DFT formation energy = 0.5291 eV/atom; mass density = 3.45 g/cm³; crystal system = cubic
1.0
0.000 4.025 4.025
4.025 0.000 4.025
4.025 4.025 0.000
Sr Ca Fe
2 1 1
Direct
0.000 0.000 0.000 Sr
0.250 0.250 0.250 Sr
0.750 0.750 0.750 Ca
0.500 0.500 0.500 Fe

=====

No. 24
La5AgS8 SCAN single point on PBEsol structure; symmetry = No. 82; total magnetization = 0.00 μB/f.u.; VASP energy = -25.3631 eV per atom; formation energy from raw total energies = -2226 meV per atom; mass density = 5.58 g/cm³; crystal system = tetragonal
1.0
-4.268 4.268 4.329
4.268 -4.268 4.329
4.268 4.268 -4.329
La Ag S
5 1 8
Direct
0.000 0.000 0.000 La
0.251 0.133 0.619 La
0.368 0.749 0.882 La
0.513 0.632 0.381 La
0.867 0.487 0.118 La
0.750 0.250 0.500 Ag
0.113 0.362 0.890 S
0.143 0.384 0.400 S
0.257 0.857 0.241 S
0.473 0.224 0.110 S
0.616 0.016 0.759 S
0.638 0.527 0.751 S
0.776 0.887 0.249 S
0.984 0.743 0.600 S

=====

No. 25
ScRh3 SCAN single point on PBEsol structure; symmetry = No. 59; total magnetization = 0.00 μB/f.u.; VASP energy = -29.4730 eV per atom; DFT formation energy = -0.5851 eV/atom; mass density = 10.05 g/cm³; crystal system = orthorhombic
1.0
4.434 0.000 0.000
0.000 5.511 0.000
0.000 0.000 4.785
Sc Rh
2 6
Direct
0.250 0.250 0.161 Sc
0.750 0.750 0.839 Sc
0.250 0.002 0.664 Rh
0.250 0.498 0.664 Rh
0.250 0.750 0.184 Rh
0.750 0.250 0.816 Rh
0.750 0.502 0.336 Rh
0.750 0.998 0.336 Rh